No. 1
First-principles (PBE) data for crystalline Cd2InOs at its relaxed geometry, as listed in Alexandria.

Calculated values
As for the calculated volume: 18.84 Å³/atom. As for the uncorrected energy: -3.525 eV per atom.

Lattice parameters (Å, degrees): 4.1496 4.1496 8.7535 90.00 90.00 90.00
Closest atoms and distances in Å follow each position.
Space group I-4m2 (No. 119)
Asymmetric unit:
Cd (0.0000, 0.0000, 0.0000) x2  4 Os 2.93, 4 Cd 3.02, 4 In 3.02
Cd (0.0000, 0.5000, 0.2500) x2  4 In 2.93, 4 Cd 3.02, 4 Os 3.02
In (0.0000, 0.5000, 0.7500) x2  8 Cd 2.93-3.02, 4 Os 3.02
Os (0.0000, 0.0000, 0.5000) x2  8 Cd 2.93-3.02, 4 In 3.02

---

No. 2
First-principles (PBE) data for crystalline CdInOs3 at its relaxed geometry, as listed in Alexandria.

Calculated values
As for the calculated volume: 23.13 Å³/atom. As for the uncorrected energy: -4.783 eV per atom. As for the offset from the most stable computed form: 0.000 eV per atom.

Lattice parameters (Å, degrees): 4.8724 4.8724 4.8724 90.00 90.00 90.00
Closest atoms and distances in Å follow each position.
Space group Pm-3m (No. 221)
Asymmetric unit:
Cd (0.0000, 0.0000, 0.0000) x1  12 Os 3.45
In (0.5000, 0.5000, 0.5000) x1  6 Os 2.44
Os (0.0000, 0.5000, 0.5000) x3  2 In 2.44

---

No. 3
First-principles (PBE) data for crystalline Cd2InOs at its relaxed geometry, as listed in Alexandria.

Calculated values
As for the calculated volume: 19.77 Å³/atom. As for the uncorrected energy: -3.439 eV per atom.

Lattice parameters (Å, degrees): 3.0596 3.0596 29.2587 90.00 90.00 120.00
Closest atoms and distances in Å follow each position.
Space group R-3m (No. 166, hexagonal axes)
Asymmetric unit:
Cd (0.0000, 0.0000, 0.2437) x6  3 Os 2.86, 6 Cd 3.06, 3 In 3.16
In (0.0000, 0.0000, 0.0000) x3  6 In 3.06, 6 Cd 3.16
Os (0.0000, 0.0000, 0.5000) x3  6 Cd 2.86, 6 Os 3.06

---

No. 4
First-principles (PBE) data for crystalline Cd2InOs at its relaxed geometry, as listed in Alexandria.

Calculated values
As for the calculated volume: 19.43 Å³/atom. As for the uncorrected energy: -3.451 eV per atom.

Lattice parameters (Å, degrees): 5.7863 10.2605 3.0974 90.00 122.28 90.00
Closest atoms and distances in Å follow each position.
Space group C2/m (No. 12)
Asymmetric unit:
Cd (0.2500, 0.2500, 0.0000) x4  6 Cd 2.89-3.10, 2 In 2.94, 2 Os 2.94
In (0.0000, 0.0000, 0.0000) x2  4 Os 2.89-2.90, 4 Cd 2.94, 2 In 3.10
Os (0.0000, 0.5000, 0.0000) x2  4 In 2.89-2.90, 4 Cd 2.94, 2 Os 3.10